# GdAl3Ni2, optimized geometry, DFT PBE
# Total moment   0.00 μB/f.u.
# Total energy   -92.90 eV/cell
# Mass density   6.16 g cm⁻³
data_GdAl3Ni2
_chemical_formula_sum 'Gd3 Al9 Ni6'
_symmetry_space_group_name_H-M 'P 6/m m m'
_symmetry_Int_Tables_number 191
_symmetry_space_group_name_Hall '-P 6 2'
_cell_length_a 9.0233
_cell_length_b 9.0233
_cell_length_c 4.0803
_cell_angle_alpha 90.00
_cell_angle_beta 90.00
_cell_angle_gamma 120.00
loop_
_atom_site_label
_atom_site_fract_x
_atom_site_fract_y
_atom_site_fract_z
Gd1 0.0000 0.0000 0.0000
Gd2 0.3333 0.6667 0.5000
Al1 0.0000 0.2979 0.5000
Al2 0.0000 0.5000 0.0000
Ni1 0.1817 0.3634 0.0000